ZnRe2BTe | PBE | optimized geometry

```
ZnRe2BTe
1.0
-4.231 -1.113 -1.865
1.581 -0.717 -3.160
0.605 -4.526 1.329
Re Zn B Te
2 1 1 1
direct
0.000 0.000 0.500
0.500 0.000 0.000
0.000 0.000 0.000
0.000 0.500 0.000
0.500 0.500 0.500
```

formation energy from raw total energies	1710	meV per atom
calculated volume	16.31	A^3/atom
DOS at the Fermi energy	4.01	states/eV per cell
final energy	-27.44	eV for the cell shown